Computed, not measured: a relaxed structure of KMo2Se at the PBE-GGA level of DFT.

raw total energy = -43.24 eV/cell
total magnetic moment = 0.00 μB per formula unit
polymorph energy (0 for the lowest one) = 862 meV/atom
formation energy (no corrections) = 1.156 eV/atom

Cell and atoms, written as CIF:
```
data_KMo2Se
_chemical_formula_sum 'K2 Mo4 Se2'
_cell_length_a 3.9314
_cell_length_b 3.9314
_cell_length_c 10.3621
_cell_angle_alpha 90.00
_cell_angle_beta 90.00
_cell_angle_gamma 90.00
_space_group_name_H-M_alt 'I 4/m m m'
_space_group_IT_number 139
_space_group_name_Hall '-I 4 2'
loop_
_atom_site_label
_atom_site_type_symbol
_atom_site_fract_x
_atom_site_fract_y
_atom_site_fract_z
K1 K 0.0000 0.0000 0.0000
Mo1 Mo 0.0000 0.5000 0.2500
Se1 Se 0.0000 0.0000 0.5000
```

Computed, not measured: a relaxed structure of KMoSe2 at the PBE-GGA level of DFT.

raw total energy = -19.68 eV/cell
total magnetic moment = 0.11 μB per formula unit
formation energy (no corrections) = -0.196 eV/atom

Cell and atoms, written as CIF:
```
data_KMoSe2
_chemical_formula_sum 'K1 Mo1 Se2'
_cell_length_a 3.4702
_cell_length_b 3.4702
_cell_length_c 8.5106
_cell_angle_alpha 90.00
_cell_angle_beta 90.00
_cell_angle_gamma 90.00
_space_group_name_H-M_alt 'P 4 m m'
_space_group_IT_number 99
_space_group_name_Hall 'P 4 -2'
loop_
_atom_site_label
_atom_site_type_symbol
_atom_site_fract_x
_atom_site_fract_y
_atom_site_fract_z
K1 K 0.0000 0.0000 0.0000
Mo1 Mo 0.5000 0.5000 0.4845
Se1 Se 0.0000 0.0000 0.3739
Se2 Se 0.5000 0.5000 0.7625
```

Computed, not measured: a relaxed structure of KMoSe at the PBE-GGA level of DFT.

raw total energy = -14.38 eV/cell
total magnetic moment = 0.73 μB per formula unit
polymorph energy (0 for the lowest one) = 163 meV/atom
formation energy (no corrections) = 0.345 eV/atom

Cell and atoms, written as CIF:
```
data_KMoSe
_chemical_formula_sum 'K1 Mo1 Se1'
_cell_length_a 4.2258
_cell_length_b 4.2258
_cell_length_c 5.6289
_cell_angle_alpha 90.00
_cell_angle_beta 90.00
_cell_angle_gamma 120.00
_space_group_name_H-M_alt 'P 3 m 1'
_space_group_IT_number 156
_space_group_name_Hall 'P 3 -2"'
loop_
_atom_site_label
_atom_site_type_symbol
_atom_site_fract_x
_atom_site_fract_y
_atom_site_fract_z
K1 K 0.0000 0.0000 0.0000
Mo1 Mo 0.6667 0.3333 0.4994
Se1 Se 0.3333 0.6667 0.4958
```

Computed, not measured: a relaxed structure of KMo3Se at the PBE-GGA level of DFT.

raw total energy = -29.77 eV/cell
total magnetic moment = 0.00 μB per formula unit
polymorph energy (0 for the lowest one) = 0 meV/atom
formation energy (no corrections) = 1.461 eV/atom

Cell and atoms, written as CIF:
```
data_KMo3Se
_chemical_formula_sum 'K1 Mo3 Se1'
_cell_length_a 4.7803
_cell_length_b 4.7803
_cell_length_c 4.7803
_cell_angle_alpha 90.00
_cell_angle_beta 90.00
_cell_angle_gamma 90.00
_space_group_name_H-M_alt 'P m -3 m'
_space_group_IT_number 221
_space_group_name_Hall '-P 4 2 3'
loop_
_atom_site_label
_atom_site_type_symbol
_atom_site_fract_x
_atom_site_fract_y
_atom_site_fract_z
K1 K 0.0000 0.0000 0.0000
Mo1 Mo 0.0000 0.5000 0.5000
Se1 Se 0.5000 0.5000 0.5000
```